Record 1
Below is crystalline CsErPtSe3 at its relaxed geometry, with properties calculated at the PBE-GGA level.

The calculation puts the density at 6.82 g/cm³. For the calculated total energy, the calculation gives -28.722 eV per formula unit.

The space group is Cmcm (No. 63) and the conventional cell measures 4.084, 17.206 and 10.147 Å, with angles of 90.00, 90.00 and 90.00 degrees. The inequivalent atoms are Cs at (0.000, 0.246, 0.250), Er at (0.000, 0.000, 0.000), Pt at (0.000, 0.491, 0.750), Se at (0.000, 0.081, 0.750) and Se at (0.000, 0.391, 0.571).


Record 2
Below is crystalline CsErPu at its relaxed geometry, with properties calculated at the PBE-GGA level.

The calculation puts the density at 5.91 g/cm³. For the calculated total energy, the calculation gives -15.675 eV per formula unit.

The space group is F-43m (No. 216) and the conventional cell measures 8.489, 8.489 and 8.489 Å, with angles of 90.00, 90.00 and 90.00 degrees. The inequivalent atoms are Cs at (0.000, 0.000, 0.000), Er at (0.000, 0.000, 0.500) and Pu at (0.250, 0.250, 0.250).


Record 3
Below is crystalline CsErPu at its relaxed geometry, with properties calculated at the PBE-GGA level.

The calculation puts the density at 7.25 g/cm³. For the calculated total energy, the calculation gives -15.362 eV per formula unit.

The space group is F-43m (No. 216) and the conventional cell measures 7.929, 7.929 and 7.929 Å, with angles of 90.00, 90.00 and 90.00 degrees. The inequivalent atoms are Cs at (0.000, 0.000, 0.000), Er at (0.250, 0.250, 0.750) and Pu at (0.250, 0.250, 0.250).


Record 4
Below is crystalline CsRbEr at its relaxed geometry, with properties calculated at the PBE-GGA level.

The calculation puts the density at 2.60 g/cm³. For the calculated total energy, the calculation gives -3.284 eV per formula unit.

The space group is F-43m (No. 216) and the conventional cell measures 9.951, 9.951 and 9.951 Å, with angles of 90.00, 90.00 and 90.00 degrees. The inequivalent atoms are Cs at (0.000, 0.000, 0.000), Rb at (0.000, 0.000, 0.500) and Er at (0.250, 0.250, 0.250).


Record 5
Below is crystalline CsErRe at its relaxed geometry, with properties calculated at the PBE-GGA level.

The calculation puts the density at 8.94 g/cm³. For the calculated total energy, the calculation gives -11.789 eV per formula unit.

The space group is F-43m (No. 216) and the conventional cell measures 7.123, 7.123 and 7.123 Å, with angles of 90.00, 90.00 and 90.00 degrees. The inequivalent atoms are Cs at (0.000, 0.000, 0.000), Er at (0.250, 0.250, 0.250) and Re at (0.000, 0.000, 0.500).


Record 6
Below is crystalline Cs2Er3S4 at its relaxed geometry, with properties calculated at the PBE-GGA level.

The calculation puts the density at 4.56 g/cm³. For the calculated total energy, the calculation gives -44.285 eV per formula unit.

The space group is Fmmm (No. 69) and the conventional cell measures 7.523, 11.055 and 15.680 Å, with angles of 90.00, 90.00 and 90.00 degrees. The inequivalent atoms are Cs at (0.000, 0.000, 0.189), Er at (0.000, 0.000, 0.500), Er at (0.250, 0.250, 0.000) and S at (0.000, 0.183, 0.386).


Among the records above, which one has the highest density? CsErRe


Number 5 is which compound? CsErRe


Which of these has the highest calculated total energy? CsRbEr


What is the density in the second record? 5.91 g/cm³